No. 1
Density functional theory data (PBE) for a geometry-optimized LiP structure.

Lattice parameters (Å, degrees): 7.4887 7.4887 7.4887 90.00 90.00 90.00
With the nearest neighbours (Å) after each atom.
Positions (direct):
Li 0.2002 0.2002 0.2002  4 P 2.40-2.53
Li 0.2002 0.7998 0.7998  4 P 2.40-2.53
Li 0.7998 0.2002 0.7998  4 P 2.40-2.53
Li 0.7998 0.7998 0.2002  4 P 2.40-2.53
Li 0.7002 0.7002 0.7002  4 P 2.40-2.53
Li 0.7002 0.2998 0.2998  4 P 2.40-2.53
Li 0.2998 0.7002 0.2998  4 P 2.40-2.53
Li 0.2998 0.2998 0.7002  4 P 2.40-2.53
P 0.3852 0.3852 0.3852  4 Li 2.40-2.53, 3 P 2.43
P 0.3852 0.6148 0.6148  4 Li 2.40-2.53, 3 P 2.43
P 0.6148 0.3852 0.6148  4 Li 2.40-2.53, 3 P 2.43
P 0.6148 0.6148 0.3852  4 Li 2.40-2.53, 3 P 2.43
P 0.8852 0.8852 0.8852  4 Li 2.40-2.53, 3 P 2.43
P 0.8852 0.1148 0.1148  4 Li 2.40-2.53, 3 P 2.43
P 0.1148 0.8852 0.1148  4 Li 2.40-2.53, 3 P 2.43
P 0.1148 0.1148 0.8852  4 Li 2.40-2.53, 3 P 2.43

Computed properties:
E above lowest polymorph in eV/atom: 0.6974
Volume in Å³ per cell: 420
Space-group type: I-43m, No. 217
Magnetization in Bohr magnetons per cell: 0.0
ΔH_f (0 K) in eV per atom: 0.176

---

No. 2
Density functional theory data (PBE) for a geometry-optimized Li2P structure.

Lattice parameters (Å, degrees): 6.2871 6.2871 2.8363 90.00 90.00 90.00
With the nearest neighbours (Å) after each atom.
Positions (direct):
Li 0.7276 0.2724 0.0000  3 P 2.42-2.47
Li 0.2724 0.7276 0.0000  3 P 2.42-2.47
Li 0.2276 0.2276 0.5000  3 P 2.42-2.47
Li 0.7724 0.7724 0.5000  3 P 2.42-2.47
P 0.0000 0.0000 0.0000  6 Li 2.42-2.47
P 0.5000 0.5000 0.5000  6 Li 2.42-2.47

Computed properties:
E above lowest polymorph in eV/atom: 0.1568
Volume in Å³ per cell: 112
Space-group type: P4_2/mnm, No. 136
Magnetization in Bohr magnetons per cell: 0.0
ΔH_f (0 K) in eV per atom: -0.413

---

No. 3
Density functional theory data (PBE) for a geometry-optimized Li2P structure.

Lattice parameters (Å, degrees): 4.9382 4.9382 8.0304 90.00 90.00 120.00
With the nearest neighbours (Å) after each atom.
Positions (direct):
P 0.3333 0.6667 0.0336  6 Li 2.64-2.86, 3 P 2.90
P 0.6667 0.3333 0.5336  6 Li 2.64-2.86, 3 P 2.90
P 0.6667 0.3333 0.9664  6 Li 2.64-2.86, 3 P 2.90
P 0.3333 0.6667 0.4664  6 Li 2.64-2.86, 3 P 2.90
Li 0.0000 0.0000 0.0000  6 Li 2.52
Li 0.0000 0.0000 0.5000  6 Li 2.52
Li 0.8217 0.6434 0.2500  4 Li 2.30-2.52
Li 0.1783 0.3566 0.7500  4 Li 2.30-2.52
Li 0.3566 0.1783 0.2500  4 Li 2.30-2.52
Li 0.8217 0.1783 0.2500  4 Li 2.30-2.52
Li 0.1783 0.8217 0.7500  4 Li 2.30-2.52
Li 0.6434 0.8217 0.7500  4 Li 2.30-2.52

Computed properties:
E above lowest polymorph in eV/atom: 0.5252
Volume in Å³ per cell: 170
Space-group type: P6_3/mmc, No. 194
Magnetization in Bohr magnetons per cell: 0.0
ΔH_f (0 K) in eV per atom: -0.045

---

No. 4
Density functional theory data (PBE) for a geometry-optimized LiP structure.

Lattice parameters (Å, degrees): 3.4864 3.4937 10.9116 90.00 90.00 90.00
With the nearest neighbours (Å) after each atom.
Positions (direct):
Li 0.0000 0.0000 0.1977  6 P 2.61-2.87, 1 Li 2.71
Li 0.0000 0.5000 0.6977  6 P 2.61-2.87, 1 Li 2.71
Li 0.0000 0.0000 0.9493  8 P 2.60-2.77, 1 Li 2.71
Li 0.0000 0.5000 0.4493  8 P 2.60-2.77, 1 Li 2.71
P 0.5000 0.0000 0.5638  1 P 2.05
P 0.5000 0.5000 0.0638  1 P 2.05
P 0.5000 0.0000 0.3754  1 P 2.05
P 0.5000 0.5000 0.8754  1 P 2.05

Computed properties:
E above lowest polymorph in eV/atom: 0.1239
Volume in Å³ per cell: 133
Space-group type: Amm2, No. 38
Magnetization in Bohr magnetons per cell: 0.0
ΔH_f (0 K) in eV per atom: -0.398

---

No. 5
Density functional theory data (PBE) for a geometry-optimized LiP structure.

Lattice parameters (Å, degrees): 4.9752 5.5878 9.0623 85.17 90.00 90.00
With the nearest neighbours (Å) after each atom.
Positions (direct):
Li 0.6104 0.1120 0.6706  6 P 2.58-2.79
Li 0.1104 0.3880 0.8294  6 P 2.58-2.79
Li 0.3896 0.8880 0.3294  6 P 2.58-2.79
Li 0.8896 0.6120 0.1706  6 P 2.58-2.79
Li 0.3402 0.8050 0.9691  6 P 2.58-2.76, 1 Li 2.79
Li 0.8402 0.6950 0.5309  6 P 2.58-2.76, 1 Li 2.79
Li 0.6598 0.1950 0.0309  6 P 2.58-2.76, 1 Li 2.79
Li 0.1598 0.3050 0.4691  6 P 2.58-2.76, 1 Li 2.79
P 0.1036 0.9767 0.7068  2 P 2.22-2.24
P 0.6036 0.5233 0.7932  2 P 2.22-2.24
P 0.8964 0.0233 0.2932  2 P 2.22-2.24
P 0.3964 0.4767 0.2068  2 P 2.22-2.24
P 0.8428 0.8086 0.8882  2 P 2.22-2.24
P 0.3428 0.6914 0.6118  2 P 2.22-2.24
P 0.1572 0.1914 0.1118  2 P 2.22-2.24
P 0.6572 0.3086 0.3882  2 P 2.22-2.24

Computed properties:
E above lowest polymorph in eV/atom: 0.0000
Volume in Å³ per cell: 251
Space-group type: P2_1/c, No. 14
Magnetization in Bohr magnetons per cell: 0.0
ΔH_f (0 K) in eV per atom: -0.522

---

No. 6
Density functional theory data (PBE) for a geometry-optimized LiP structure.

Lattice parameters (Å, degrees): 4.8814 4.8814 7.0427 65.99 65.99 40.11
With the nearest neighbours (Å) after each atom.
Positions (direct):
Li 0.9972 0.9972 0.9786  4 P 2.44-2.48
Li 0.2731 0.2731 0.4276  5 P 2.58-2.89, 1 Li 2.73
Li 0.4353 0.4353 0.6731  3 P 2.64-2.65, 1 Li 2.73
P 0.6943 0.6943 0.7488  1 P 2.22, 2 Li 2.48
P 0.0579 0.0579 0.2833  2 P 2.32, 2 Li 2.44-2.58
P 0.7090 0.7090 0.0551  3 P 2.22-2.32, 1 Li 2.46

Computed properties:
E above lowest polymorph in eV/atom: 0.1333
Volume in Å³ per cell: 97
Space-group type: Cm, No. 8
Magnetization in Bohr magnetons per cell: 0.0
ΔH_f (0 K) in eV per atom: -0.388

---

No. 7
Density functional theory data (PBE) for a geometry-optimized LiP structure.

Lattice parameters (Å, degrees): 5.6097 5.6097 5.6097 146.44 137.31 55.36
With the nearest neighbours (Å) after each atom.
Positions (direct):
Li 0.6227 0.8727 0.2500  6 P 2.64-2.86, 2 Li 2.93
Li 0.3773 0.1273 0.7500  6 P 2.64-2.86, 2 Li 2.93
P 0.0795 0.3295 0.2500  2 P 2.26
P 0.9205 0.6705 0.7500  2 P 2.26

Computed properties:
E above lowest polymorph in eV/atom: 0.1375
Volume in Å³ per cell: 66
Space-group type: Imma, No. 74
Magnetization in Bohr magnetons per cell: 0.0
ΔH_f (0 K) in eV per atom: -0.384

---

No. 8
Density functional theory data (PBE) for a geometry-optimized LiP structure.

Lattice parameters (Å, degrees): 2.6629 2.6629 10.4394 90.00 90.00 120.00
With the nearest neighbours (Å) after each atom.
Positions (direct):
Li 0.0000 0.0000 0.9975  3 P 2.53, 6 Li 2.66
Li 0.6667 0.3333 0.2525  3 P 2.53, 6 Li 2.66
P 0.0000 0.0000 0.4454  3 Li 2.53, 6 P 2.66
P 0.6667 0.3333 0.8046  3 Li 2.53, 6 P 2.66

Computed properties:
E above lowest polymorph in eV/atom: 0.6704
Volume in Å³ per cell: 64
Space-group type: P-3m1, No. 164
Magnetization in Bohr magnetons per cell: 0.0
ΔH_f (0 K) in eV per atom: 0.149